Compound: K2ScW
Source: the Alexandria database
Functional: PBE
Structure: optimized geometry

The value obtained for the electronic total energy is -4.073 eV per atom. The symmetry is No. 47. The density of states at the Fermi level comes out at 4.67 states/eV/cell.

a = 3.032 Å, b = 5.286 Å, c = 6.604 Å
α = 90.00°, β = 90.00°, γ = 90.00°
Last column: magnetic moment on the atom in μB.
Sites, in units of the cell vectors:
K (0.000, 0.000, 0.000)  -0.01
K (0.500, 0.500, 0.000)  0.00
Sc (0.500, 0.000, 0.500)  -0.04
W (0.000, 0.500, 0.500)  0.15


Compound: Y3HoTh3
Source: the Alexandria database
Functional: PBE
Structure: optimized geometry

The value obtained for the electronic total energy is -6.563 eV per atom. The symmetry is No. 176. The density of states at the Fermi level comes out at 19.71 states/eV/cell.

a = 5.846 Å, b = 9.485 Å, c = 9.485 Å
α = 120.00°, β = 90.00°, γ = 90.00°
Sites, in units of the cell vectors:
Y (0.750, 0.622, 0.530)
Y (0.750, 0.470, 0.092)
Y (0.750, 0.908, 0.378)
Y (0.250, 0.378, 0.470)
Y (0.250, 0.530, 0.908)
Y (0.250, 0.092, 0.622)
Ho (0.250, 0.667, 0.333)
Ho (0.750, 0.333, 0.667)
Th (0.250, 0.814, 0.766)
Th (0.250, 0.234, 0.048)
Th (0.250, 0.952, 0.186)
Th (0.750, 0.186, 0.234)
Th (0.750, 0.766, 0.952)
Th (0.750, 0.048, 0.814)


Compound: KSc2Hg
Source: the Alexandria database
Functional: PBE
Structure: optimized geometry

The value obtained for the electronic total energy is -3.277 eV per atom. The symmetry is No. 10. The density of states at the Fermi level comes out at 4.96 states/eV/cell.

a = 4.932 Å, b = 3.344 Å, c = 7.541 Å
α = 76.47°, β = 90.00°, γ = 90.00°
Sites, in units of the cell vectors:
Hg (0.500, 0.250, 0.250)
K (0.500, 0.750, 0.750)
Sc (0.000, 0.051, 0.077)
Sc (0.000, 0.449, 0.423)


Compound: Ti2CoOs
Source: the Alexandria database
Functional: PBE
Structure: optimized geometry

The value obtained for the electronic total energy is -9.073 eV per atom. The symmetry is No. 123. The density of states at the Fermi level comes out at 2.12 states/eV/cell.

a = 3.061 Å, b = 4.300 Å, c = 4.300 Å
α = 90.00°, β = 90.00°, γ = 90.00°
Last column: magnetic moment on the atom in μB.
Sites, in units of the cell vectors:
Co (0.500, 0.500, 0.500)  1.00
Os (0.500, 0.000, 0.000)  0.04
Ti (0.000, 0.000, 0.500)  -0.04
Ti (0.000, 0.500, 0.000)  -0.04


Look up the electronic total energy of the first one. -4.073 eV per atom


Number 2 is which compound? Y3HoTh3


Among the records above, which one has the lowest electronic total energy? Ti2CoOs